(1)
Material: HoZrRu2
Method: DFT, PBE
State: optimized geometry

Cell lengths 3.318, 3.318, 6.711 Å; angles 90.00, 90.00, 90.00 degrees
Space group P4/mmm (No. 123)
Symmetry-distinct sites (fractional):
1 Ho 0.000 0.000 0.000
2 Zr 0.000 0.000 0.500
3 Ru 0.500 0.500 0.266

Final energy = -0.6217 Ry/atom
Volume = 18.47 Å³ per atom
ΔE_f = -540 meV/atom


(2)
Material: Ho4S3
Method: DFT, PBE
State: optimized geometry

Cell lengths 3.8161, 3.8161, 37.8817 Å; angles 90.00, 90.00, 120.00 degrees
Space group R-3m (No. 166, hexagonal axes)
Symmetry-distinct sites (fractional):
1 Ho 0.0000 0.0000 0.1218
2 Ho 0.0000 0.0000 0.3717
3 S 0.0000 0.0000 0.2523
4 S 0.0000 0.0000 0.5000

Formation energy from raw total energies = -1.678 eV per atom
Final energy = -0.4456 Ry/atom
Volume = 22.75 Å³ per atom


(3)
Material: HoS
Method: DFT, PBE
State: optimized geometry

Cell lengths 3.688, 3.688, 12.952 Å; angles 90.00, 90.00, 90.00 degrees
Space group P4/mmm (No. 123)
Symmetry-distinct sites (fractional):
1 Ho 0.000 0.000 0.142
2 S 0.500 0.500 0.192

Formation energy from raw total energies = -1.461 eV per atom
Final energy = -0.4273 Ry/atom
Volume = 44.05 Å³ per atom


(4)
Material: HoS4
Method: DFT, PBE
State: optimized geometry

Cell lengths 5.311, 5.311, 5.311 Å; angles 90.00, 90.00, 90.00 degrees
Space group Pm-3m (No. 221)
Symmetry-distinct sites (fractional):
1 Ho 0.000 0.000 0.000
2 S 0.000 0.000 0.500
3 S 0.500 0.500 0.500

Relative energy among the computed polymorphs = 0.5543 eV per atom
Formation energy from raw total energies = 0.184 eV per atom
Final energy = -0.2965 Ry/atom
Volume = 29.97 Å³ per atom


(5)
Material: HoS2
Method: DFT, PBE
State: optimized geometry

Cell lengths 3.841, 3.841, 7.942 Å; angles 90.00, 90.00, 90.00 degrees
Space group P4/nmm (No. 129, origin choice 2)
Symmetry-distinct sites (fractional):
1 Ho 0.250 0.250 0.226
2 S 0.250 0.250 0.869
3 S 0.250 0.750 0.500

Formation energy from raw total energies = -1.660 eV per atom
Final energy = -0.4364 Ry/atom
Volume = 19.53 Å³ per atom


(6)
Material: Ho6S5
Method: DFT, PBE
State: optimized geometry

Cell lengths 6.698, 11.533, 6.680 Å; angles 90.00, 109.52, 90.00 degrees
Space group C2/m (No. 12)
Symmetry-distinct sites (fractional):
1 Ho 0.249 0.000 0.256
2 Ho 0.250 0.168 0.750
3 S 0.000 0.000 0.500
4 S 0.000 0.165 0.000
5 S 0.000 0.331 0.500

Formation energy from raw total energies = -1.800 eV per atom
Final energy = -0.4537 Ry/atom
Volume = 22.11 Å³ per atom


(7)
Material: HoS4
Method: DFT, PBE
State: optimized geometry

Cell lengths 7.405, 7.405, 4.370 Å; angles 90.00, 90.00, 90.00 degrees
Space group I4/mmm (No. 139)
Symmetry-distinct sites (fractional):
1 Ho 0.000 0.000 0.000
2 S 0.000 0.230 0.500

Relative energy among the computed polymorphs = 0.0000 eV per atom
Formation energy from raw total energies = -0.370 eV per atom
Final energy = -0.3372 Ry/atom
Volume = 23.96 Å³ per atom


(8)
Material: HoS
Method: DFT, PBE
State: optimized geometry

Cell lengths 5.493, 5.493, 5.493 Å; angles 90.00, 90.00, 90.00 degrees
Space group Fm-3m (No. 225)
Symmetry-distinct sites (fractional):
1 Ho 0.000 0.000 0.000
2 S 0.000 0.000 0.500

Formation energy from raw total energies = -1.970 eV per atom
Final energy = -0.4647 Ry/atom
Volume = 20.72 Å³ per atom